No. 1
DFT (PBE) results for a geometry-optimized TbPm2PuSb4 structure.

a = 7.706 Å, b = 4.461 Å, c = 7.708 Å
α = 90.00°, β = 109.46°, γ = 90.00°
Positions (direct):
Tb  0.000  0.000  0.000
Pm  0.000  0.500  0.500
Pm  0.500  0.000  0.500
Pu  0.500  0.500  0.000
Sb  0.248  0.500  0.244
Sb  0.252  0.000  0.756
Sb  0.748  0.000  0.244
Sb  0.752  0.500  0.756

Output
Its symmetry is P2/m (10). As for the raw formation energy: -98.6 kJ/mol of atoms.



No. 2
DFT (PBE) results for a geometry-optimized Pm2PuThSb4 structure.

a = 7.764 Å, b = 4.488 Å, c = 7.770 Å
α = 90.00°, β = 109.47°, γ = 90.00°
Positions (direct):
Pm  0.000  0.000  0.000
Pm  0.500  0.500  0.000
Pu  0.000  0.500  0.500
Th  0.500  0.000  0.500
Sb  0.247  0.000  0.747
Sb  0.249  0.500  0.251
Sb  0.751  0.500  0.749
Sb  0.753  0.000  0.253

Output
Its symmetry is P2/m (10). As for the raw formation energy: -96.0 kJ/mol of atoms.



No. 3
DFT (PBE) results for a geometry-optimized PmPuTh2Sb5 structure.

a = 5.373 Å, b = 5.373 Å, c = 11.551 Å
α = 90.00°, β = 90.00°, γ = 90.00°
Positions (direct):
Pm  0.000  0.000  0.000
Pu  0.000  0.000  0.500
Th  0.500  0.500  0.193
Th  0.500  0.500  0.807
Sb  0.000  0.000  0.252
Sb  0.000  0.000  0.748
Sb  0.000  0.500  0.000
Sb  0.500  0.000  0.000
Sb  0.500  0.500  0.500

Output
Its symmetry is P4/mmm (123). As for the raw formation energy: 1.8 kJ/mol of atoms.